Here is an optimized crystal structure of CsLaCoO3 from Alexandria. Energies are from PBE with a Hubbard U.

Unit cell a=3.7654 b=8.4546 c=8.4559 alpha=105.63 beta=90.00 gamma=90.00
Atoms (fractional coordinates):
Cs 0.2500 0.1947 0.2177
Cs 0.7500 0.8053 0.7823
La 0.2500 0.6530 0.1552
La 0.7500 0.3470 0.8448
Co 0.2500 0.0790 0.6115
Co 0.7500 0.9210 0.3885
O 0.7500 0.8402 0.1543
O 0.2500 0.1598 0.8457
O 0.2500 0.8565 0.4516
O 0.7500 0.1435 0.5484
O 0.7500 0.4649 0.1313
O 0.2500 0.5351 0.8687

* final energy: -6.348 eV per atom
* spin magnetization: 3.012 μB per formula unit